(1)
An optimized crystal structure of ScRuNO2. Source: the Alexandria database, functional PBE.

For the total energy, the calculation gives -6.88 eV per atom. Its crystal system is tetragonal. The energy relative to the elements, uncorrected is -113.2 meV/atom. The magnetic moment comes out at 0.70 μB/atom. The density of states at the Fermi level comes out at 4.5 states/eV/f.u.

Structure (POSCAR):
```
ScRuNO2
1.0
3.9633 0.0000 0.0000
0.0000 3.9633 0.0000
0.0000 0.0000 4.2263
Sc Ru N O
1 1 1 2
Direct
0.0000 0.0000 0.0000
0.5000 0.5000 0.5000
0.0000 0.0000 0.5000
0.0000 0.5000 0.0000
0.5000 0.0000 0.0000
```

=====

(2)
An optimized crystal structure of ScRuN2O. Source: the Alexandria database, functional PBE.

For the total energy, the calculation gives -7.74 eV per atom. Its crystal system is tetragonal. The energy relative to the elements, uncorrected is -297.3 meV/atom. The magnetic moment comes out at 0.00 μB/atom. The density of states at the Fermi level comes out at 2.4 states/eV/f.u.

Structure (POSCAR):
```
ScRuN2O
1.0
3.7853 0.0000 0.0000
0.0000 3.7853 0.0000
0.0000 0.0000 4.0514
Sc Ru N O
1 1 2 1
Direct
0.0000 0.0000 0.0000
0.5000 0.5000 0.5000
0.0000 0.5000 0.5000
0.5000 0.0000 0.5000
0.5000 0.5000 0.0000
```

=====

(3)
An optimized crystal structure of ScRuN2O. Source: the Alexandria database, functional PBE.

For the total energy, the calculation gives -6.70 eV per atom. Its crystal system is tetragonal. The energy relative to the elements, uncorrected is 740.7 meV/atom. The magnetic moment comes out at 0.37 μB/atom. The density of states at the Fermi level comes out at 5.6 states/eV/f.u.

Structure (POSCAR):
```
ScRuN2O
1.0
4.1457 0.0000 0.0000
0.0000 4.1457 0.0000
0.0000 0.0000 3.9128
Sc Ru N O
1 1 2 1
Direct
0.0000 0.0000 0.0000
0.5000 0.5000 0.5000
0.0000 0.5000 0.0000
0.5000 0.0000 0.0000
0.0000 0.0000 0.5000
```

=====

(4)
An optimized crystal structure of ScRuNO2. Source: the Alexandria database, functional PBE.

For the total energy, the calculation gives -7.62 eV per atom. Its crystal system is tetragonal. The energy relative to the elements, uncorrected is -849.4 meV/atom. The magnetic moment comes out at 0.00 μB/atom. The density of states at the Fermi level comes out at 2.2 states/eV/f.u.

Structure (POSCAR):
```
ScRuNO2
1.0
3.9847 0.0000 0.0000
0.0000 3.9847 0.0000
0.0000 0.0000 3.6973
Sc Ru N O
1 1 1 2
Direct
0.0000 0.0000 0.0000
0.5000 0.5000 0.5000
0.5000 0.5000 0.0000
0.0000 0.5000 0.5000
0.5000 0.0000 0.5000
```

=====

(5)
An optimized crystal structure of RuSeN2O. Source: the Alexandria database, functional PBE.

For the total energy, the calculation gives -5.84 eV per atom. Its crystal system is tetragonal. The energy relative to the elements, uncorrected is 1033.8 meV/atom. The magnetic moment comes out at 0.00 μB/atom. The density of states at the Fermi level comes out at 2.2 states/eV/f.u.

Structure (POSCAR):
```
RuSeN2O
1.0
3.6584 0.0000 0.0000
0.0000 3.6584 0.0000
0.0000 0.0000 5.4689
Ru Se N O
1 1 2 1
Direct
0.0000 0.0000 0.0000
0.0000 0.0000 0.5000
0.0000 0.5000 0.0000
0.5000 0.0000 0.0000
0.5000 0.5000 0.5000
```

=====

(6)
An optimized crystal structure of RuSe2NO. Source: the Alexandria database, functional PBE.

For the total energy, the calculation gives -4.96 eV per atom. Its crystal system is tetragonal. The energy relative to the elements, uncorrected is 944.5 meV/atom. The magnetic moment comes out at 0.00 μB/atom. The density of states at the Fermi level comes out at 5.2 states/eV/f.u.

Structure (POSCAR):
```
RuSe2NO
1.0
4.9459 0.0000 0.0000
0.0000 4.9459 0.0000
0.0000 0.0000 3.6188
Ru Se N O
1 2 1 1
Direct
0.0000 0.0000 0.0000
0.0000 0.5000 0.0000
0.5000 0.0000 0.0000
0.0000 0.0000 0.5000
0.5000 0.5000 0.5000
```

=====

(7)
An optimized crystal structure of RuSeN2O. Source: the Alexandria database, functional PBE.

For the total energy, the calculation gives -4.84 eV per atom. Its crystal system is tetragonal. The energy relative to the elements, uncorrected is 2030.9 meV/atom. The magnetic moment comes out at 0.00 μB/atom. The density of states at the Fermi level comes out at 3.0 states/eV/f.u.

Structure (POSCAR):
```
RuSeN2O
1.0
3.7697 0.0000 0.0000
0.0000 3.7697 0.0000
0.0000 0.0000 3.8873
Ru Se N O
1 1 2 1
Direct
0.0000 0.0000 0.0000
0.5000 0.5000 0.0000
0.0000 0.5000 0.5000
0.5000 0.0000 0.5000
0.5000 0.5000 0.5000
```

=====

(8)
An optimized crystal structure of RuSeN2O. Source: the Alexandria database, functional PBE.

For the total energy, the calculation gives -5.91 eV per atom. Its crystal system is tetragonal. The energy relative to the elements, uncorrected is 968.4 meV/atom. The magnetic moment comes out at 0.00 μB/atom. The density of states at the Fermi level comes out at 4.1 states/eV/f.u.

Structure (POSCAR):
```
RuSeN2O
1.0
3.9332 0.0000 0.0000
0.0000 3.9332 0.0000
0.0000 0.0000 3.8380
Ru Se N O
1 1 2 1
Direct
0.0000 0.0000 0.0000
0.5000 0.5000 0.5000
0.0000 0.5000 0.0000
0.5000 0.0000 0.0000
0.0000 0.0000 0.5000
```

=====

(9)
An optimized crystal structure of RuSe2NO. Source: the Alexandria database, functional PBE.

For the total energy, the calculation gives -4.51 eV per atom. Its crystal system is tetragonal. The energy relative to the elements, uncorrected is 1399.1 meV/atom. The magnetic moment comes out at 0.00 μB/atom. The density of states at the Fermi level comes out at 2.5 states/eV/f.u.

Structure (POSCAR):
```
RuSe2NO
1.0
4.2320 0.0000 0.0000
0.0000 4.2320 0.0000
0.0000 0.0000 3.7955
Ru Se N O
1 2 1 1
Direct
0.0000 0.0000 0.0000
0.0000 0.5000 0.5000
0.5000 0.0000 0.5000
0.5000 0.5000 0.0000
0.5000 0.5000 0.5000
```

=====

(10)
An optimized crystal structure of RuSeN2O. Source: the Alexandria database, functional PBE.

For the total energy, the calculation gives -5.23 eV per atom. Its crystal system is tetragonal. The energy relative to the elements, uncorrected is 1642.1 meV/atom. The magnetic moment comes out at 0.57 μB/atom. The density of states at the Fermi level comes out at 4.5 states/eV/f.u.

Structure (POSCAR):
```
RuSeN2O
1.0
3.8932 0.0000 0.0000
0.0000 3.8932 0.0000
0.0000 0.0000 3.7195
Ru Se N O
1 1 2 1
Direct
0.0000 0.0000 0.0000
0.5000 0.5000 0.5000
0.0000 0.5000 0.5000
0.5000 0.0000 0.5000
0.5000 0.5000 0.0000
```

=====

(11)
An optimized crystal structure of SiRuN2O. Source: the Alexandria database, functional PBE.

For the total energy, the calculation gives -7.05 eV per atom. Its crystal system is tetragonal. The energy relative to the elements, uncorrected is 211.7 meV/atom. The magnetic moment comes out at 0.00 μB/atom. The density of states at the Fermi level comes out at 2.0 states/eV/f.u.

Structure (POSCAR):
```
SiRuN2O
1.0
3.6090 0.0000 0.0000
0.0000 3.6090 0.0000
0.0000 0.0000 3.4766
Si Ru N O
1 1 2 1
Direct
0.0000 0.0000 0.0000
0.5000 0.5000 0.5000
0.0000 0.5000 0.0000
0.5000 0.0000 0.0000
0.0000 0.0000 0.5000
```

=====

(12)
An optimized crystal structure of SiRuN2O. Source: the Alexandria database, functional PBE.

For the total energy, the calculation gives -6.49 eV per atom. Its crystal system is tetragonal. The energy relative to the elements, uncorrected is 768.1 meV/atom. The magnetic moment comes out at 0.05 μB/atom. The density of states at the Fermi level comes out at 1.8 states/eV/f.u.

Structure (POSCAR):
```
SiRuN2O
1.0
3.7749 0.0000 0.0000
0.0000 3.7749 0.0000
0.0000 0.0000 4.1731
Si Ru N O
1 1 2 1
Direct
0.0000 0.0000 0.0000
0.5000 0.5000 0.5000
0.0000 0.5000 0.5000
0.5000 0.0000 0.5000
0.5000 0.5000 0.0000
```

=====

(13)
An optimized crystal structure of SiRuN2O. Source: the Alexandria database, functional PBE.

For the total energy, the calculation gives -5.29 eV per atom. Its crystal system is tetragonal. The energy relative to the elements, uncorrected is 1976.3 meV/atom. The magnetic moment comes out at 0.01 μB/atom. The density of states at the Fermi level comes out at 4.8 states/eV/f.u.

Structure (POSCAR):
```
SiRuN2O
1.0
3.7855 0.0000 0.0000
0.0000 3.7855 0.0000
0.0000 0.0000 3.8589
Si Ru N O
1 1 2 1
Direct
0.0000 0.0000 0.0000
0.5000 0.5000 0.0000
0.0000 0.5000 0.5000
0.5000 0.0000 0.5000
0.5000 0.5000 0.5000
```

=====

(14)
An optimized crystal structure of Si2RuNO. Source: the Alexandria database, functional PBE.

For the total energy, the calculation gives -5.72 eV per atom. Its crystal system is tetragonal. The energy relative to the elements, uncorrected is 956.2 meV/atom. The magnetic moment comes out at 0.08 μB/atom. The density of states at the Fermi level comes out at 4.1 states/eV/f.u.

Structure (POSCAR):
```
Si2RuNO
1.0
3.8278 0.0000 0.0000
0.0000 3.8278 0.0000
0.0000 0.0000 4.2286
Si Ru N O
2 1 1 1
Direct
0.0000 0.5000 0.0000
0.5000 0.0000 0.0000
0.0000 0.0000 0.5000
0.0000 0.0000 0.0000
0.5000 0.5000 0.5000
```

=====

(15)
An optimized crystal structure of SiRuNO2. Source: the Alexandria database, functional PBE.

For the total energy, the calculation gives -7.00 eV per atom. Its crystal system is tetragonal. The energy relative to the elements, uncorrected is -408.7 meV/atom. The magnetic moment comes out at 0.57 μB/atom. The density of states at the Fermi level comes out at 3.2 states/eV/f.u.

Structure (POSCAR):
```
SiRuNO2
1.0
3.4623 0.0000 0.0000
0.0000 3.4623 0.0000
0.0000 0.0000 3.8657
Si Ru N O
1 1 1 2
Direct
0.0000 0.0000 0.0000
0.5000 0.5000 0.5000
0.0000 0.0000 0.5000
0.0000 0.5000 0.0000
0.5000 0.0000 0.0000
```

=====

(16)
An optimized crystal structure of SiRuNO2. Source: the Alexandria database, functional PBE.

For the total energy, the calculation gives -6.40 eV per atom. Its crystal system is tetragonal. The energy relative to the elements, uncorrected is 187.0 meV/atom. The magnetic moment comes out at 0.00 μB/atom. The density of states at the Fermi level comes out at 3.3 states/eV/f.u.

Structure (POSCAR):
```
SiRuNO2
1.0
3.9853 0.0000 0.0000
0.0000 3.9853 0.0000
0.0000 0.0000 3.7260
Si Ru N O
1 1 1 2
Direct
0.0000 0.0000 0.0000
0.5000 0.5000 0.5000
0.5000 0.5000 0.0000
0.0000 0.5000 0.5000
0.5000 0.0000 0.5000
```

=====

(17)
An optimized crystal structure of SnRuNO2. Source: the Alexandria database, functional PBE.

For the total energy, the calculation gives -5.79 eV per atom. Its crystal system is tetragonal. The energy relative to the elements, uncorrected is 515.7 meV/atom. The magnetic moment comes out at 0.85 μB/atom. The density of states at the Fermi level comes out at 3.1 states/eV/f.u.

Structure (POSCAR):
```
SnRuNO2
1.0
4.0266 0.0000 0.0000
0.0000 4.0266 0.0000
0.0000 0.0000 4.2165
Sn Ru N O
1 1 1 2
Direct
0.0000 0.0000 0.0000
0.5000 0.5000 0.5000
0.0000 0.0000 0.5000
0.0000 0.5000 0.0000
0.5000 0.0000 0.0000
```

=====

(18)
An optimized crystal structure of SnRuN2O. Source: the Alexandria database, functional PBE.

For the total energy, the calculation gives -5.64 eV per atom. Its crystal system is tetragonal. The energy relative to the elements, uncorrected is 1341.4 meV/atom. The magnetic moment comes out at 0.64 μB/atom. The density of states at the Fermi level comes out at 4.8 states/eV/f.u.

Structure (POSCAR):
```
SnRuN2O
1.0
4.1098 0.0000 0.0000
0.0000 4.1098 0.0000
0.0000 0.0000 3.9784
Sn Ru N O
1 1 2 1
Direct
0.0000 0.0000 0.0000
0.5000 0.5000 0.5000
0.0000 0.5000 0.0000
0.5000 0.0000 0.0000
0.0000 0.0000 0.5000
```

=====

(19)
An optimized crystal structure of SnRuNO2. Source: the Alexandria database, functional PBE.

For the total energy, the calculation gives -6.54 eV per atom. Its crystal system is tetragonal. The energy relative to the elements, uncorrected is -240.2 meV/atom. The magnetic moment comes out at 0.00 μB/atom. The density of states at the Fermi level comes out at 3.8 states/eV/f.u.

Structure (POSCAR):
```
SnRuNO2
1.0
4.1483 0.0000 0.0000
0.0000 4.1483 0.0000
0.0000 0.0000 3.7986
Sn Ru N O
1 1 1 2
Direct
0.0000 0.0000 0.0000
0.5000 0.5000 0.5000
0.5000 0.5000 0.0000
0.0000 0.5000 0.5000
0.5000 0.0000 0.5000
```

=====

(20)
An optimized crystal structure of SrRuNO2. Source: the Alexandria database, functional PBE.

For the total energy, the calculation gives -4.54 eV per atom. Its crystal system is tetragonal. The energy relative to the elements, uncorrected is 1299.0 meV/atom. The magnetic moment comes out at 0.79 μB/atom. The density of states at the Fermi level comes out at 7.6 states/eV/f.u.

Structure (POSCAR):
```
SrRuNO2
1.0
4.4224 0.0000 0.0000
0.0000 4.4224 0.0000
0.0000 0.0000 4.6685
Sr Ru N O
1 1 1 2
Direct
0.0000 0.0000 0.0000
0.5000 0.5000 0.5000
0.0000 0.0000 0.5000
0.0000 0.5000 0.0000
0.5000 0.0000 0.0000
```